[1]
VASP calculation (PBE) on a relaxed NaSr2Cl2 crystal.

Unit cell a=5.0091 b=5.0091 c=14.9028 alpha=90.00 beta=90.00 gamma=90.00
Last column: nearest neighbours and their distance in Å.
Space group I4/mmm (No. 139)
Unique sites:
1 Na 0.0000 0.0000 0.0000 [2 per cell]  8 Sr 4.10, 8 Cl 4.49
2 Sr 0.0000 0.0000 0.3615 [4 per cell]  4 Cl 3.01
3 Cl 0.0000 0.5000 0.2500 [4 per cell]  4 Sr 3.01

Summary:
- final energy (eV per cell) = -30.7
- DOS at the Fermi energy (states/eV/cell) = 5.7
- formation energy (no corrections) (meV per atom) = -1399
- volume (Å³ per atom) = 37.4
- ρ (g/cm3) = 2.39

***

[2]
VASP calculation (PBE) on a relaxed LaIr3 crystal.

Unit cell a=2.9235 b=4.7309 c=5.4415 alpha=90.00 beta=103.19 gamma=90.00
Last column: nearest neighbours and their distance in Å.
Space group P2/m (No. 10)
Unique sites:
1 La 0.0000 0.0000 0.0000 [1 per cell]  2 Ir 2.78, 2 La 2.92
2 Ir 0.3469 0.5000 0.7078 [2 per cell]  6 Ir 2.61-2.92
3 Ir 0.5000 0.0000 0.5000 [1 per cell]  6 Ir 2.70-2.92, 2 La 2.78

Summary:
- final energy (eV per cell) = -31.5
- DOS at the Fermi energy (states/eV/cell) = 4.1
- E_form (eV/atom) = 0.01
- volume (Å³ per atom) = 18.3
- ρ (g/cm3) = 16.22

***

Which of these has the lowest final energy? LaIr3